DFT (PBE-GGA) results for a relaxed Tc2HgAs2 crystal.

Unit cell a=7.309 b=7.309 c=3.121 alpha=90.00 beta=90.00 gamma=90.00
Element x y z (fractional)
Tc 0.145 0.355 0.000
Tc 0.355 0.855 0.000
Tc 0.645 0.145 0.000
Tc 0.855 0.645 0.000
Hg 0.000 0.000 0.000
Hg 0.500 0.500 0.000
As 0.143 0.643 0.500
As 0.357 0.143 0.500
As 0.643 0.857 0.500
As 0.857 0.357 0.500

Calculated values
VASP energy ... -5.961 eV/atom
Energy relative to the elements ... 51.1 kJ/mol of formula units
Magnetic moment ... 0.0 μB/cell
Crystal system ... tetragonal